(1)
VASP calculation (meta-GGA SCAN) on SiAuSe2N at its PBEsol-relaxed geometry.

Cell: 5.1805 5.1805 3.7131 Å, 90.00 90.00 90.00°
Space group P4/mmm (No. 123)
Asymmetric unit:
Si 0.0000 0.0000 0.0000 x1
Au 0.5000 0.5000 0.5000 x1
Se 0.0000 0.5000 0.5000 x2
N 0.5000 0.5000 0.0000 x1

Calculated values
**VASP energy**: -122.973 eV per cell
**Formation energy without anion corrections**: 1130 meV/atom

***

(2)
VASP calculation (meta-GGA SCAN) on TiAuSeN2 at its PBEsol-relaxed geometry.

Cell: 3.7924 3.7924 5.5809 Å, 90.00 90.00 90.00°
Space group P4/mmm (No. 123)
Asymmetric unit:
Ti 0.0000 0.0000 0.0000 x1
Au 0.5000 0.5000 0.5000 x1
Se 0.0000 0.0000 0.5000 x1
N 0.0000 0.5000 0.0000 x2

Calculated values
**VASP energy**: -122.102 eV per cell
**Formation energy without anion corrections**: 349 meV/atom

***

(3)
VASP calculation (meta-GGA SCAN) on TlAuSe2N at its PBEsol-relaxed geometry.

Cell: 5.3730 5.3730 4.1160 Å, 90.00 90.00 90.00°
Space group P4/mmm (No. 123)
Asymmetric unit:
Tl 0.0000 0.0000 0.0000 x1
Au 0.5000 0.5000 0.5000 x1
Se 0.0000 0.5000 0.0000 x2
N 0.0000 0.0000 0.5000 x1

Calculated values
**VASP energy**: -183.773 eV per cell
**Formation energy without anion corrections**: 1438 meV/atom

***

(4)
VASP calculation (meta-GGA SCAN) on SiAuN3 at its PBEsol-relaxed geometry.

Cell: 4.0095 4.0095 4.0095 Å, 90.00 90.00 90.00°
Space group Pm-3m (No. 221)
Asymmetric unit:
Si 0.0000 0.0000 0.0000 x1
Au 0.5000 0.5000 0.5000 x1
N 0.0000 0.5000 0.5000 x3

Calculated values
**VASP energy**: -94.942 eV per cell
**Formation energy without anion corrections**: 2421 meV/atom

***

| no. | DOS at the Fermi energy (states/eV/f.u.) |
| --- | --- |
| 1 | 2.29 |
| 2 | 3.42 |
| 3 | 2.49 |
| 4 | 2.42 |